Entry 1:
# Ba2ErPaSb4 | Alexandria | PBE-GGA | relaxed
# Calculated volume (Å³/atom): 36.06
# Space-group type: P2/m (10)
# Energy relative to the elements, uncorrected (meV per atom): -905
data_Ba2ErPaSb4
_chemical_formula_sum 'Ba2 Er1 Pa1 Sb4'
_symmetry_space_group_name_H-M 'P 1'
_symmetry_Int_Tables_number 1
_symmetry_space_group_name_Hall 'P 1'
_cell_length_a 4.6261
_cell_length_b 7.8895
_cell_length_c 8.3438
_cell_angle_alpha 108.69
_cell_angle_beta 90.00
_cell_angle_gamma 90.00
loop_
_atom_site_label
_atom_site_type_symbol
_atom_site_fract_x
_atom_site_fract_y
_atom_site_fract_z
_atom_site_occupancy
Sb1 Sb 0.0000 0.7423 0.2075 1
Sb2 Sb 0.0000 0.2577 0.7925 1
Sb3 Sb 0.5000 0.2304 0.2060 1
Sb4 Sb 0.5000 0.7696 0.7940 1
Er1 Er 0.5000 0.5000 0.0000 1
Ba1 Ba 0.5000 0.0000 0.5000 1
Ba2 Ba 0.0000 0.5000 0.5000 1
Pa1 Pa 0.0000 0.0000 0.0000 1

---

Entry 2:
# Ba3Er2PaSb6 | Alexandria | PBE-GGA | relaxed
# Calculated volume (Å³/atom): 36.11
# Space-group type: C2/m (12)
# Energy relative to the elements, uncorrected (meV per atom): -915
data_Ba3Er2PaSb6
_chemical_formula_sum 'Ba3 Er2 Pa1 Sb6'
_symmetry_space_group_name_H-M 'P 1'
_symmetry_Int_Tables_number 1
_symmetry_space_group_name_Hall 'P 1'
_cell_length_a 7.9623
_cell_length_b 7.9623
_cell_length_c 8.3297
_cell_angle_alpha 99.17
_cell_angle_beta 99.17
_cell_angle_gamma 120.04
loop_
_atom_site_label
_atom_site_type_symbol
_atom_site_fract_x
_atom_site_fract_y
_atom_site_fract_z
_atom_site_occupancy
Sb1 Sb 0.0688 0.3978 0.2070 1
Sb2 Sb 0.9312 0.6022 0.7930 1
Sb3 Sb 0.6022 0.9312 0.7930 1
Sb4 Sb 0.7408 0.7408 0.2081 1
Sb5 Sb 0.3978 0.0688 0.2070 1
Sb6 Sb 0.2592 0.2592 0.7919 1
Ba1 Ba 0.5000 0.5000 0.5000 1
Ba2 Ba 0.8315 0.1685 0.5000 1
Ba3 Ba 0.1685 0.8315 0.5000 1
Er1 Er 0.3337 0.6663 0.0000 1
Er2 Er 0.6663 0.3337 0.0000 1
Pa1 Pa 0.0000 0.0000 0.0000 1

---

Entry 3:
# Ba2ErPaSe6 | Alexandria | PBE-GGA | relaxed
# Calculated volume (Å³/atom): 31.66
# Space-group type: P2_1/c (14)
# Energy relative to the elements, uncorrected (meV per atom): -1818
data_Ba2ErPaSe6
_chemical_formula_sum 'Ba4 Er2 Pa2 Se12'
_symmetry_space_group_name_H-M 'P 1'
_symmetry_Int_Tables_number 1
_symmetry_space_group_name_Hall 'P 1'
_cell_length_a 7.4657
_cell_length_b 7.8496
_cell_length_c 10.8053
_cell_angle_alpha 90.00
_cell_angle_beta 89.85
_cell_angle_gamma 90.00
loop_
_atom_site_label
_atom_site_type_symbol
_atom_site_fract_x
_atom_site_fract_y
_atom_site_fract_z
_atom_site_occupancy
Ba1 Ba 0.0217 0.9280 0.2509 1
Ba2 Ba 0.9783 0.0720 0.7491 1
Ba3 Ba 0.5217 0.5720 0.7509 1
Ba4 Ba 0.4783 0.4280 0.2491 1
Se1 Se 0.1946 0.2034 0.0464 1
Se2 Se 0.7000 0.3020 0.9544 1
Se3 Se 0.4118 0.9828 0.7479 1
Se4 Se 0.6946 0.2966 0.5464 1
Se5 Se 0.0882 0.4828 0.7521 1
Se6 Se 0.2000 0.1980 0.4544 1
Se7 Se 0.5882 0.0172 0.2521 1
Se8 Se 0.3054 0.7034 0.4536 1
Se9 Se 0.3000 0.6980 0.0456 1
Se10 Se 0.9118 0.5172 0.2479 1
Se11 Se 0.8054 0.7966 0.9536 1
Se12 Se 0.8000 0.8020 0.5456 1
Er1 Er 0.0000 0.5000 0.5000 1
Er2 Er 0.5000 0.0000 0.0000 1
Pa1 Pa 0.0000 0.5000 0.0000 1
Pa2 Pa 0.5000 0.0000 0.5000 1

---

Entry 4:
# BaErPd4 | Alexandria | PBE-GGA | relaxed
# Calculated volume (Å³/atom): 20.48
# Space-group type: F-43m (216)
data_BaErPd4
_chemical_formula_sum 'Ba1 Er1 Pd4'
_symmetry_space_group_name_H-M 'P 1'
_symmetry_Int_Tables_number 1
_symmetry_space_group_name_Hall 'P 1'
_cell_length_a 5.5803
_cell_length_b 5.5803
_cell_length_c 5.5803
_cell_angle_alpha 60.00
_cell_angle_beta 60.00
_cell_angle_gamma 60.00
loop_
_atom_site_label
_atom_site_type_symbol
_atom_site_fract_x
_atom_site_fract_y
_atom_site_fract_z
_atom_site_occupancy
Pd1 Pd 0.6259 0.6259 0.6259 1
Pd2 Pd 0.6259 0.1223 0.6259 1
Pd3 Pd 0.1223 0.6259 0.6259 1
Pd4 Pd 0.6259 0.6259 0.1223 1
Er1 Er 0.0000 0.0000 0.0000 1
Ba1 Ba 0.2500 0.2500 0.2500 1

---

Entry 5:
# BaErPd2 | Alexandria | PBE-GGA | relaxed
# Energy above the lowest structure with this stoichiometry (kJ/mol of formula units): 27.7
# Calculated volume (Å³/atom): 28.33
# Space-group type: R-3m (166)
data_BaErPd2
_chemical_formula_sum 'Ba1 Er1 Pd2'
_symmetry_space_group_name_H-M 'P 1'
_symmetry_Int_Tables_number 1
_symmetry_space_group_name_Hall 'P 1'
_cell_length_a 4.7287
_cell_length_b 4.7287
_cell_length_c 6.4581
_cell_angle_alpha 68.52
_cell_angle_beta 68.52
_cell_angle_gamma 60.00
loop_
_atom_site_label
_atom_site_type_symbol
_atom_site_fract_x
_atom_site_fract_y
_atom_site_fract_z
_atom_site_occupancy
Ba1 Ba 0.5000 0.5000 0.5000 1
Pd1 Pd 0.7094 0.7094 0.8719 1
Pd2 Pd 0.2906 0.2906 0.1281 1
Er1 Er 0.0000 0.0000 0.0000 1

---

Entry 6:
# BaErPd2 | Alexandria | PBE-GGA | relaxed
# Energy above the lowest structure with this stoichiometry (kJ/mol of formula units): 0.0
# Calculated volume (Å³/atom): 25.03
# Space-group type: P4/mmm (123)
data_BaErPd2
_chemical_formula_sum 'Ba1 Er1 Pd2'
_symmetry_space_group_name_H-M 'P 1'
_symmetry_Int_Tables_number 1
_symmetry_space_group_name_Hall 'P 1'
_cell_length_a 3.6197
_cell_length_b 3.6197
_cell_length_c 7.6410
_cell_angle_alpha 90.00
_cell_angle_beta 90.00
_cell_angle_gamma 90.00
loop_
_atom_site_label
_atom_site_type_symbol
_atom_site_fract_x
_atom_site_fract_y
_atom_site_fract_z
_atom_site_occupancy
Ba1 Ba 0.5000 0.5000 0.5000 1
Pd1 Pd 0.0000 0.0000 0.8054 1
Pd2 Pd 0.0000 0.0000 0.1946 1
Er1 Er 0.5000 0.5000 0.0000 1

---

The theoretical density results, record by record, are as follows: 6.68; 6.55; 6.01; 9.87; 7.58; 8.58 Mg/m³.
The E_tot results, record by record, are as follows: -5.20; -5.01; -5.70; -5.12; -4.86; -4.93 eV per atom.